Crystalline CsVOF2 at its relaxed geometry. Source: Alexandria via LeMat-Bulk, functional GGA+U.

Results
calculated volume = 15.29 Å³/atom
total moment = 2.00 μB per formula unit
E_tot = -5.773 eV per atom

Lattice parameters (Å, degrees): 4.450 4.450 3.862 90.00 90.00 90.00
Site moments in Bohr magnetons follow the coordinates.
Fractional positions:
1 Cs 0.500 0.500 0.500  0.00
2 F 0.000 0.500 0.000  0.00
3 F 0.500 0.000 0.000  0.00
4 O 0.000 0.000 0.500  -0.22
5 V 0.000 0.000 0.000  2.09